{"formula": "TlCr2Au2", "functional": "PBE-GGA", "state": "optimized geometry", "magmom_total_mub_per_fu": 0.47, "polymorph_energy_ev_per_atom": 0.023, "final_energy_ev_per_atom": -5.15, "crystal_system": "tetragonal", "delta_e_f_kcal_per_mol_atoms": 11.21, "lattice": [[7.932, 0.000, 0.000], [0.000, 7.932, 0.000], [0.000, 0.000, 2.963]], "species": ["Cr", "Cr", "Cr", "Cr", "Tl", "Tl", "Au", "Au", "Au", "Au"], "fractional_positions": [[0.418, 0.082, 0.500], [0.582, 0.918, 0.500], [0.082, 0.582, 0.500], [0.918, 0.418, 0.500], [0.000, 0.000, 0.000], [0.500, 0.500, 0.000], [0.802, 0.698, 0.000], [0.698, 0.198, 0.000], [0.198, 0.302, 0.000], [0.302, 0.802, 0.000]]}